Entry from Alexandria: crystalline Cs12As3Br5 at its relaxed geometry (GGA-PBE).

a b c (Å): 18.397 18.397 18.397
angles (deg): 109.47 109.47 109.47
Each line ends with the local moment (μB).
Fractional positions:
As1 0.750 0.375 0.125  0.24
As2 0.875 0.750 0.125  0.24
As3 0.375 0.750 0.625  0.24
As4 0.250 0.125 0.375  0.24
As5 0.875 0.125 0.250  0.24
As6 0.375 0.625 0.250  0.24
As7 0.625 0.375 0.750  0.24
As8 0.125 0.875 0.750  0.24
As9 0.750 0.875 0.625  0.24
As10 0.625 0.250 0.375  0.24
As11 0.125 0.250 0.875  0.24
As12 0.250 0.625 0.875  0.24
Br1 0.125 0.375 0.250  0.00
Br2 0.000 0.500 0.000  0.00
Br3 0.000 0.000 0.000  0.00
Br4 0.375 0.250 0.125  0.00
Br5 0.500 0.000 0.500  0.00
Br6 0.500 0.500 0.000  0.00
Br7 0.125 0.750 0.375  0.00
Br8 0.750 0.125 0.875  0.00
Br9 0.750 0.625 0.375  0.00
Br10 0.375 0.125 0.750  0.00
Br11 0.625 0.875 0.250  0.00
Br12 0.500 0.500 0.500  0.00
Br13 0.500 0.000 0.000  0.00
Br14 0.000 0.000 0.500  0.00
Br15 0.250 0.375 0.625  0.00
Br16 0.250 0.875 0.125  0.00
Br17 0.000 0.500 0.500  0.00
Br18 0.875 0.250 0.625  0.00
Br19 0.625 0.750 0.875  0.00
Br20 0.875 0.625 0.750  0.00
Cs1 0.726 0.141 0.056  0.01
Cs2 0.330 0.556 0.415  0.01
Cs3 0.944 0.359 0.274  0.01
Cs4 0.556 0.226 0.141  0.01
Cs5 0.585 0.726 0.670  0.01
Cs6 0.944 0.585 0.170  0.01
Cs7 0.330 0.774 0.415  0.01
Cs8 0.085 0.915 0.141  0.01
Cs9 0.585 0.944 0.670  0.01
Cs10 0.726 0.585 0.170  0.01
Cs11 0.774 0.444 0.359  0.01
Cs12 0.830 0.915 0.056  0.01
Cs13 0.141 0.726 0.556  0.01
Cs14 0.359 0.415 0.085  0.01
Cs15 0.085 0.915 0.359  0.01
Cs16 0.415 0.141 0.585  0.01
Cs17 0.085 0.170 0.226  0.01
Cs18 0.444 0.670 0.085  0.01
Cs19 0.830 0.915 0.274  0.01
Cs20 0.141 0.415 0.085  0.01
Cs21 0.359 0.944 0.774  0.01
Cs22 0.585 0.641 0.415  0.01
Cs23 0.915 0.830 0.556  0.01
Cs24 0.774 0.330 0.915  0.01
Cs25 0.415 0.359 0.585  0.01
Cs26 0.085 0.170 0.444  0.01
Cs27 0.226 0.670 0.085  0.01
Cs28 0.170 0.085 0.726  0.01
Cs29 0.641 0.056 0.226  0.01
Cs30 0.859 0.585 0.915  0.01
Cs31 0.556 0.330 0.915  0.01
Cs32 0.585 0.859 0.415  0.01
Cs33 0.915 0.830 0.774  0.01
Cs34 0.915 0.085 0.641  0.01
Cs35 0.859 0.274 0.444  0.01
Cs36 0.170 0.085 0.944  0.01
Cs37 0.641 0.585 0.915  0.01
Cs38 0.415 0.056 0.330  0.01
Cs39 0.274 0.415 0.830  0.01
Cs40 0.226 0.556 0.641  0.01
Cs41 0.915 0.085 0.859  0.01
Cs42 0.670 0.226 0.585  0.01
Cs43 0.444 0.774 0.859  0.01
Cs44 0.056 0.415 0.830  0.01
Cs45 0.415 0.274 0.330  0.01
Cs46 0.056 0.641 0.726  0.01
Cs47 0.670 0.444 0.585  0.01
Cs48 0.274 0.859 0.944  0.01

Values from the calculation:
Crystal system: cubic
Formation energy from raw total energies in eV per atom: -0.943
DFT total energy in eV/atom: -2.5705


Entry from Alexandria: crystalline Ag3BTe at its relaxed geometry (GGA-PBE).

a b c (Å): 5.325 5.325 5.325
angles (deg): 90.00 90.00 90.00
Each line ends with the local moment (μB).
Fractional positions:
B1 0.500 0.500 0.500  0.07
Te1 0.000 0.000 0.000  0.01
Ag1 0.000 0.500 0.000  0.00
Ag2 0.000 0.000 0.500  0.00
Ag3 0.500 0.000 0.000  0.00

Values from the calculation:
Excess energy over the best structure of this formula in the dataset in eV/atom: 0.8122
Crystal system: cubic
Formation energy from raw total energies in eV per atom: 1.397
DFT total energy in eV/atom: -2.2776


Entry from Alexandria: crystalline VSbP at its relaxed geometry (GGA-PBE).

a b c (Å): 3.414 4.999 6.654
angles (deg): 89.31 75.14 109.97
Fractional positions:
P1 0.104 0.242 0.034
P2 0.896 0.758 0.966
V1 0.553 0.381 0.276
V2 0.447 0.619 0.724
Sb1 0.787 0.200 0.626
Sb2 0.213 0.800 0.374

Values from the calculation:
Crystal system: monoclinic
Formation energy from raw total energies in eV per atom: -0.273
DFT total energy in eV/atom: -6.4904


Entry from Alexandria: crystalline CePdAu11 at its relaxed geometry (GGA-PBE).

a b c (Å): 5.602 7.278 7.401
angles (deg): 81.12 67.76 65.92
Each line ends with the local moment (μB).
Fractional positions:
Ce1 0.000 0.000 0.000  0.96
Pd1 0.500 0.500 0.000  0.00
Au1 0.288 0.214 0.212  0.00
Au2 0.712 0.786 0.788  0.00
Au3 0.499 0.786 0.212  0.00
Au4 0.501 0.214 0.788  0.00
Au5 0.361 0.649 0.659  0.00
Au6 0.639 0.351 0.341  0.00
Au7 0.980 0.351 0.659  0.00
Au8 0.020 0.649 0.341  0.00
Au9 0.000 0.500 0.000  0.00
Au10 0.500 0.000 0.500  0.00
Au11 0.000 0.000 0.500  0.00

Values from the calculation:
Formation energy from the elements in eV/atom: -0.20
Crystal system: monoclinic
DFT total energy in eV/atom: -3.8250


- What is the DFT total energy in the first record?
  -2.5705 eV/atom